# 1
Material: Ac2DyScS6
Method: DFT, PBE
State: relaxed

Symmetry: P2_1/c, No. 14
Formation energy from raw total energies: -21.2 eV/f.u.
Total DFT energy (no corrections): -6.516 eV per atom

Unit cell a=6.8402 b=7.4242 c=9.9622 alpha=90.00 beta=89.54 gamma=90.00
Last column: nearest neighbours and their distance in Å.
Sites, in units of the cell vectors:
Ac (0.5292, 0.5873, 0.7508)  6 S 2.97-3.19
S (0.3207, 0.6972, 0.0586)  1 Sc 2.62, 1 Dy 2.71
Ac (0.9708, 0.0873, 0.7492)  6 S 2.97-3.19
S (0.3853, 0.9671, 0.7572)  1 Sc 2.56, 1 Dy 2.68
Dy (0.0000, 0.5000, 0.0000)  6 S 2.68-2.74
S (0.8077, 0.8136, 0.9431)  1 Sc 2.58, 1 Dy 2.74
S (0.1147, 0.4671, 0.7428)  1 Sc 2.56, 1 Dy 2.68
S (0.6793, 0.3028, 0.9414)  1 Sc 2.62, 1 Dy 2.71
S (0.6147, 0.0329, 0.2428)  1 Sc 2.56, 1 Dy 2.68
Ac (0.4708, 0.4127, 0.2492)  6 S 2.97-3.19
Sc (0.0000, 0.5000, 0.5000)  6 S 2.56-2.62
Ac (0.0292, 0.9127, 0.2508)  6 S 2.97-3.19
S (0.8853, 0.5329, 0.2572)  1 Sc 2.56, 1 Dy 2.68
S (0.1793, 0.1972, 0.4414)  1 Sc 2.62, 1 Dy 2.71
S (0.6923, 0.3136, 0.5569)  1 Sc 2.58, 1 Dy 2.74
Sc (0.5000, 0.0000, 0.0000)  6 S 2.56-2.62
Dy (0.5000, 0.0000, 0.5000)  6 S 2.68-2.74
S (0.8207, 0.8028, 0.5586)  1 Sc 2.62, 1 Dy 2.71
S (0.1923, 0.1864, 0.0569)  1 Sc 2.58, 1 Dy 2.74
S (0.3077, 0.6864, 0.4431)  1 Sc 2.58, 1 Dy 2.74

=====

# 2
Material: AcDy2ScS6
Method: DFT, PBE
State: relaxed

Symmetry: R3, No. 146
Formation energy from raw total energies: -20.1 eV/f.u.
Total DFT energy (no corrections): -6.448 eV per atom

Unit cell a=6.9709 b=6.9709 c=7.3582 alpha=61.72 beta=61.72 gamma=60.00
Last column: nearest neighbours and their distance in Å.
Sites, in units of the cell vectors:
Ac (0.8014, 0.8014, 0.5958)  6 S 2.91-3.09
S (0.1587, 0.3723, 0.7513)  1 Sc 2.63, 2 Dy 2.68-2.78, 1 Ac 2.91
Dy (0.5223, 0.5223, 0.4331)  6 S 2.73-2.78
S (0.5966, 0.2274, 0.2427)  1 Sc 2.64, 2 Dy 2.73-2.77
S (0.2274, 0.9332, 0.2427)  1 Sc 2.64, 2 Dy 2.73-2.77
S (0.3722, 0.7177, 0.7512)  1 Sc 2.63, 2 Dy 2.68-2.78, 1 Ac 2.91
S (0.9333, 0.5966, 0.2428)  1 Sc 2.64, 2 Dy 2.73-2.77
Sc (0.3214, 0.3214, 0.0358)  6 S 2.63-2.64
S (0.7177, 0.1587, 0.7513)  1 Sc 2.63, 2 Dy 2.68-2.78, 1 Ac 2.91
Dy (0.0105, 0.0106, 0.9684)  6 S 2.68-2.77

=====

# 3
Material: AcDySeS
Method: DFT, PBE
State: relaxed

Symmetry: R3m, No. 160
Formation energy from raw total energies: -7.6 eV/f.u.
Total DFT energy (no corrections): -5.980 eV per atom

Unit cell a=4.1036 b=4.1036 c=7.5132 alpha=74.15 beta=74.15 gamma=60.00
Last column: nearest neighbours and their distance in Å.
Sites, in units of the cell vectors:
S (0.2392, 0.2392, 0.2824)  3 Dy 2.76, 3 Ac 3.03
Dy (0.5066, 0.5066, 0.4803)  3 S 2.76, 3 Se 2.92
Se (0.7601, 0.7601, 0.7198)  3 Dy 2.92, 3 Ac 3.18
Ac (0.9942, 0.9942, 0.0175)  3 S 3.03, 3 Se 3.18

=====

# 4
Material: Ac2DySe2S2
Method: DFT, PBE
State: relaxed

Symmetry: I4/mmm, No. 139
Formation energy from raw total energies: -12.9 eV/f.u.
Total DFT energy (no corrections): -5.855 eV per atom

Unit cell a=5.0899 b=5.0899 c=8.6703 alpha=107.07 beta=107.07 gamma=90.00
Last column: nearest neighbours and their distance in Å.
Sites, in units of the cell vectors:
Se (0.1797, 0.1797, 0.3595)  1 Dy 2.84, 1 Ac 3.02
S (0.5000, 0.0000, 0.0000)  2 Dy 2.54
Dy (0.0000, 0.0000, 0.0000)  4 S 2.54, 2 Se 2.84
Ac (0.3709, 0.3709, 0.7418)  1 Se 3.02, 4 S 3.26
Se (0.8203, 0.8203, 0.6405)  1 Dy 2.84, 1 Ac 3.02
S (0.0000, 0.5000, 0.0000)  2 Dy 2.54
Ac (0.6291, 0.6291, 0.2582)  1 Se 3.02, 4 S 3.26

=====

# 5
Material: Ac2SmDyS6
Method: DFT, PBE
State: relaxed

Symmetry: R3, No. 146
Formation energy from raw total energies: -21.0 eV/f.u.
Total DFT energy (no corrections): -6.330 eV per atom

Unit cell a=7.3098 b=7.3098 c=7.5392 alpha=61.00 beta=61.00 gamma=60.00
Last column: nearest neighbours and their distance in Å.
Sites, in units of the cell vectors:
S (0.1058, 0.4488, 0.7645)  1 Sm 2.76, 1 Dy 2.78, 2 Ac 2.97-3.05
S (0.1847, 0.9554, 0.2609)  1 Dy 2.71, 1 Sm 2.84, 1 Ac 2.98
S (0.9554, 0.5989, 0.2609)  1 Dy 2.71, 1 Sm 2.84, 1 Ac 2.98
Sm (0.8143, 0.8143, 0.5570)  6 S 2.76-2.84
S (0.6809, 0.1058, 0.7645)  1 Sm 2.76, 1 Dy 2.78, 2 Ac 2.97-3.05
S (0.4488, 0.6809, 0.7645)  1 Sm 2.76, 1 Dy 2.78, 2 Ac 2.97-3.05
Ac (0.0281, 0.0281, 0.9156)  6 S 2.97-3.05
Dy (0.3156, 0.3156, 0.0531)  6 S 2.71-2.78
S (0.5989, 0.1847, 0.2609)  1 Dy 2.71, 1 Sm 2.84, 1 Ac 2.98
Ac (0.5290, 0.5289, 0.4132)  6 S 2.98-3.05

=====

# 6
Material: AcSm2DyS6
Method: DFT, PBE
State: relaxed

Symmetry: R3, No. 146
Formation energy from raw total energies: -20.6 eV/f.u.
Total DFT energy (no corrections): -6.347 eV per atom

Unit cell a=7.1719 b=7.1716 c=7.5352 alpha=61.58 beta=61.58 gamma=60.00
Last column: nearest neighbours and their distance in Å.
Sites, in units of the cell vectors:
S (0.3856, 0.7166, 0.7501)  2 Sm 2.76-2.85, 1 Dy 2.79, 1 Ac 2.93
S (0.6092, 0.2211, 0.2464)  1 Dy 2.76, 2 Sm 2.79-2.86, 1 Ac 3.06
Ac (0.8049, 0.8049, 0.5853)  6 S 2.93-3.06
Sm (0.5217, 0.5217, 0.4348)  6 S 2.79-2.85
Dy (0.3168, 0.3167, 0.0498)  6 S 2.76-2.79
S (0.2211, 0.9233, 0.2464)  1 Dy 2.76, 2 Sm 2.79-2.86, 1 Ac 3.06
S (0.1477, 0.3856, 0.7501)  2 Sm 2.76-2.85, 1 Dy 2.79, 1 Ac 2.93
S (0.7166, 0.1477, 0.7501)  2 Sm 2.76-2.85, 1 Dy 2.79, 1 Ac 2.93
S (0.9233, 0.6092, 0.2464)  1 Dy 2.76, 2 Sm 2.79-2.86, 1 Ac 3.06
Sm (0.0147, 0.0147, 0.9559)  6 S 2.76-2.86